The following is a DFT calculation (GGA-PBE) of a geometry-optimized Pr2Dy3Er6 structure.

Properties
The space-group type is I4/mmm, No. 139. The offset from the most stable computed form is 85.5 meV per atom. The crystal system is tetragonal. The value obtained for the formation energy is 2.95 eV per formula unit.

Cell and atoms, written as extended XYZ:
```
11
Lattice="-2.361 2.361 16.582 2.361 -2.361 16.582 2.361 2.361 -16.582" Properties=species:S:1:pos:R:3 pbc="T T T"
Pr 0.000 0.000 1.544
Pr 0.000 0.000 31.621
Dy 0.000 0.000 9.880
Dy 0.000 0.000 16.582
Dy 0.000 0.000 23.285
Er 2.361 0.000 4.072
Er 0.000 0.000 6.471
Er 2.361 0.000 12.510
Er 0.000 2.361 4.072
Er 0.000 0.000 26.694
Er 0.000 2.361 12.510
```

The following is a DFT calculation (GGA-PBE) of a geometry-optimized SmDy2Au3 structure.

Properties
The space-group type is P4/mmm, No. 123. The crystal system is tetragonal. The value obtained for the formation energy is -5.06 eV per formula unit.

Cell and atoms, written as extended XYZ:
```
6
Lattice="3.601 0.000 0.000 0.000 3.601 0.000 0.000 0.000 10.991" Properties=species:S:1:pos:R:3 pbc="T T T"
Sm 0.000 0.000 0.000
Dy 0.000 0.000 3.688
Dy 0.000 0.000 7.302
Au 1.800 1.800 1.932
Au 1.800 1.800 5.495
Au 1.800 1.800 9.059
```

The following is a DFT calculation (GGA-PBE) of a geometry-optimized AlTc3Ni structure.

Properties
The space-group type is Pm-3m, No. 221. The offset from the most stable computed form is 0.0 meV per atom. The crystal system is cubic. The value obtained for the formation energy is 6.49 eV per formula unit.

Cell and atoms, written as extended XYZ:
```
5
Lattice="4.414 0.000 0.000 0.000 4.414 0.000 0.000 0.000 4.414" Properties=species:S:1:pos:R:3 pbc="T T T"
Al 0.000 0.000 0.000
Tc 0.000 2.207 2.207
Tc 2.207 0.000 2.207
Tc 2.207 2.207 0.000
Ni 2.207 2.207 2.207
```

The following is a DFT calculation (GGA-PBE) of a geometry-optimized LaIrOs2 structure.

Properties
The space-group type is P4/mmm, No. 123. The offset from the most stable computed form is 479.4 meV per atom. The crystal system is tetragonal. The value obtained for the formation energy is 2.68 eV per formula unit.

Cell and atoms, written as extended XYZ:
```
4
Lattice="4.854 0.000 0.000 0.000 4.854 0.000 0.000 0.000 3.023" Properties=species:S:1:pos:R:3 pbc="T T T"
La 0.000 0.000 0.000
Ir 2.427 2.427 0.000
Os 0.000 2.427 1.511
Os 2.427 0.000 1.511
```

The following is a DFT calculation (GGA-PBE) of a geometry-optimized TaReNO2 structure.

Properties
The energy relative to the elements, uncorrected comes out at 5.5 kJ/mol of atoms. The space-group type is P4/mmm, No. 123. The crystal system is tetragonal.

Cell and atoms, written as extended XYZ:
```
5
Lattice="3.875 0.000 0.000 0.000 3.875 0.000 0.000 0.000 3.922" Properties=species:S:1:pos:R:3 pbc="T T T"
Ta 0.000 0.000 0.000
Re 1.938 1.938 1.961
N 1.938 1.938 0.000
O 0.000 1.938 1.961
O 1.938 0.000 1.961
```

The following is a DFT calculation (GGA-PBE) of a geometry-optimized TbTm2Sc7 structure.

Properties
The space-group type is Cmmm, No. 65. The crystal system is orthorhombic. The value obtained for the formation energy is 6.17 eV per formula unit.

Cell and atoms, written as extended XYZ:
```
10
Lattice="3.726 -8.544 0.000 3.726 8.544 0.000 0.000 0.000 4.985" Properties=species:S:1:pos:R:3 pbc="T T T"
Tb 0.000 0.000 0.000
Tm 3.726 4.040 2.493
Tm 3.726 -4.040 2.493
Sc 1.466 1.655 2.493
Sc 1.466 -1.655 2.493
Sc 3.726 1.583 0.000
Sc 3.726 0.000 2.493
Sc 3.726 -1.583 0.000
Sc 5.987 1.655 2.493
Sc 5.987 -1.655 2.493
```

The following is a DFT calculation (GGA-PBE) of a geometry-optimized MgCd3Au structure.

Properties
The space-group type is P-1, No. 2. The offset from the most stable computed form is 89.2 meV per atom. The crystal system is triclinic. The value obtained for the formation energy is -0.04 eV per formula unit.

Cell and atoms, written as extended XYZ:
```
5
Lattice="5.237 0.000 0.000 -0.050 5.722 0.000 -0.026 -2.861 4.956" Properties=species:S:1:pos:R:3 pbc="T T T"
Mg 0.000 0.000 0.000
Cd 2.605 -1.431 2.478
Cd 2.593 2.861 0.000
Cd 2.580 1.430 2.478
Au 2.618 0.000 0.000
```

The following is a DFT calculation (GGA-PBE) of a geometry-optimized Th2Ge3AsIr4 structure.

Properties
The space-group type is P-4m2, No. 115. The crystal system is tetragonal. The value obtained for the formation energy is -8.15 eV per formula unit.

Cell and atoms, written as extended XYZ:
```
10
Lattice="4.302 0.000 0.000 0.000 4.302 0.000 0.000 0.000 10.103" Properties=species:S:1:pos:R:3 pbc="T T T"
Th 0.000 2.151 2.529
Th 2.151 0.000 7.574
Ge 0.000 0.000 0.000
Ge 0.000 2.151 6.406
Ge 2.151 0.000 3.697
As 2.151 2.151 0.000
Ir 0.000 0.000 5.051
Ir 0.000 2.151 8.856
Ir 2.151 0.000 1.247
Ir 2.151 2.151 5.051
```

The following is a DFT calculation (GGA-PBE) of a geometry-optimized Zn4SbW structure.

Properties
The energy relative to the elements, uncorrected comes out at 36.0 kJ/mol of atoms. The space-group type is F-43m, No. 216. The crystal system is cubic.

Cell and atoms, written as extended XYZ:
```
6
Lattice="0.000 3.627 3.627 3.627 0.000 3.627 3.627 3.627 0.000" Properties=species:S:1:pos:R:3 pbc="T T T"
Zn 2.735 2.735 2.735
Zn 4.520 4.520 2.735
Zn 4.520 2.735 4.520
Zn 2.735 4.520 4.520
Sb 0.000 0.000 0.000
W 5.441 5.441 5.441
```

The following is a DFT calculation (GGA-PBE) of a geometry-optimized Na3DyY2S6 structure.

Properties
The energy relative to the elements, uncorrected comes out at -178.7 kJ/mol of atoms. The space-group type is C2/m, No. 12. The crystal system is monoclinic.

Cell and atoms, written as extended XYZ:
```
12
Lattice="3.453 -5.981 0.000 3.453 5.981 0.000 -2.301 0.000 6.685" Properties=species:S:1:pos:R:3 pbc="T T T"
Na 0.000 0.000 0.000
Na 3.453 1.994 0.000
Na 3.453 -1.994 0.000
Dy 2.302 0.000 3.342
Y 2.302 3.987 3.342
Y 2.302 -3.987 3.342
S 1.153 1.991 1.825
S 0.003 0.000 4.860
S 1.153 -1.991 1.825
S 3.452 1.991 4.860
S 4.602 0.000 1.825
S 3.452 -1.991 4.860
```

The following is a DFT calculation (GGA-PBE) of a geometry-optimized Cd2PtAu5 structure.

Properties
The space-group type is Pbam, No. 55. The crystal system is orthorhombic. The value obtained for the formation energy is -1.09 eV per formula unit.

Cell and atoms, written as extended XYZ:
```
16
Lattice="6.016 0.000 0.000 0.000 12.038 0.000 0.000 0.000 4.017" Properties=species:S:1:pos:R:3 pbc="T T T"
Cd 1.455 1.465 0.000
Cd 1.553 7.484 0.000
Cd 4.463 4.554 0.000
Cd 4.561 10.573 0.000
Pt 0.000 0.000 2.009
Pt 3.008 6.019 2.009
Au 0.000 6.019 2.009
Au 0.015 9.027 2.009
Au 1.498 10.532 0.000
Au 1.510 4.513 0.000
Au 2.993 3.008 2.009
Au 3.008 0.000 2.009
Au 3.023 9.030 2.009
Au 4.506 7.525 0.000
Au 4.518 1.506 0.000
Au 6.001 3.011 2.009
```

The following is a DFT calculation (GGA-PBE) of a geometry-optimized Nd6TlRh structure.

Properties
The space-group type is C2/m, No. 12. The crystal system is monoclinic. The value obtained for the formation energy is -0.94 eV per formula unit.

Cell and atoms, written as extended XYZ:
```
8
Lattice="4.037 -5.230 0.000 4.037 5.230 0.000 -1.747 0.000 6.429" Properties=species:S:1:pos:R:3 pbc="T T T"
Nd 1.804 3.252 4.574
Nd 0.802 0.000 5.441
Nd 4.524 3.252 1.856
Nd 1.804 -3.252 4.574
Nd 5.526 0.000 0.988
Nd 4.524 -3.252 1.856
Tl 3.164 0.000 3.215
Rh 0.000 0.000 0.000
```

Per-record E_tot, eV/atom: -4.3444, -4.8027, -6.8271, -8.3908, -8.4517, -5.1725, -1.5322, -7.6935, -3.3226, -5.7060, -3.1683, -4.9086